An optimized crystal structure of La2NdHoSe5. Source: the Alexandria database, functional PBE-GGA.

Output
- Raw formation energy: -1.83 eV per atom
- Density of states at the Fermi level: 11.6 states/eV/cell

a b c (Å): 4.1571 17.6387 14.0606
angles (deg): 90.00 90.00 90.00
With the nearest neighbours (Å) after each atom.
Space group Cmc2_1 (No. 36)
Symmetry-distinct sites (fractional):
La 0.0000 0.0822 0.0000 (multiplicity 4)  6 Se 2.96-3.09
La 0.0000 0.1346 0.6666 (multiplicity 4)  8 Se 3.02-3.35
Nd 0.0000 0.4457 0.8093 (multiplicity 4)  5 Se 2.85-3.00
Ho 0.0000 0.2327 0.3983 (multiplicity 4)  6 Se 2.78-2.93
Se 0.0000 0.0800 0.4468 (multiplicity 4)  1 Ho 2.78, 2 Nd 2.87, 1 La 2.96
Se 0.0000 0.2535 0.0437 (multiplicity 4)  2 Ho 2.93, 1 La 3.08
Se 0.0000 0.2886 0.7597 (multiplicity 4)  1 Nd 2.86, 2 Ho 2.87, 1 La 3.02
Se 0.0000 0.3865 0.3427 (multiplicity 4)  1 Ho 2.82, 1 Nd 3.00, 2 La 3.09
Se 0.0000 0.4961 0.1205 (multiplicity 4)  1 Nd 2.85, 4 La 3.08-3.17

=====

An optimized crystal structure of La2NdHoSe4. Source: the Alexandria database, functional PBE-GGA.

Output
- Raw formation energy: -1.89 eV per atom
- Density of states at the Fermi level: 5.3 states/eV/cell

a b c (Å): 7.3367 4.1830 7.3695
angles (deg): 90.00 108.95 90.00
With the nearest neighbours (Å) after each atom.
Space group P2/m (No. 10)
Symmetry-distinct sites (fractional):
La 0.0000 0.0000 0.0000 (multiplicity 1)  6 Se 3.08
La 0.5000 0.5000 0.0000 (multiplicity 1)  6 Se 3.01
Nd 0.0000 0.5000 0.5000 (multiplicity 1)  6 Se 2.97-2.98
Ho 0.5000 0.0000 0.5000 (multiplicity 1)  6 Se 2.90
Se 0.2542 0.0000 0.7394 (multiplicity 2)  1 Ho 2.90, 2 Nd 2.97, 3 La 3.01-3.08
Se 0.2631 0.5000 0.2662 (multiplicity 2)  2 Ho 2.90, 1 Nd 2.98, 3 La 3.01-3.08

=====

An optimized crystal structure of LaNd2HoSe4. Source: the Alexandria database, functional PBE-GGA.

Output
- Raw formation energy: -1.84 eV per atom
- Density of states at the Fermi level: 4.9 states/eV/cell

a b c (Å): 7.2945 4.1570 7.3558
angles (deg): 90.00 108.81 90.00
With the nearest neighbours (Å) after each atom.
Space group P2/m (No. 10)
Symmetry-distinct sites (fractional):
La 0.0000 0.0000 0.0000 (multiplicity 1)  6 Se 3.00
Nd 0.5000 0.0000 0.5000 (multiplicity 1)  6 Se 2.96
Nd 0.5000 0.5000 0.0000 (multiplicity 1)  6 Se 3.05
Ho 0.0000 0.5000 0.5000 (multiplicity 1)  6 Se 2.91
Se 0.2399 0.0000 0.7370 (multiplicity 2)  2 Ho 2.91, 3 Nd 2.96-3.05, 1 La 3.00
Se 0.2473 0.5000 0.2591 (multiplicity 2)  1 Ho 2.91, 3 Nd 2.96-3.05, 2 La 3.00

=====

An optimized crystal structure of La3NdHo2Se6. Source: the Alexandria database, functional PBE-GGA.

Output
- Raw formation energy: -1.89 eV per atom
- Density of states at the Fermi level: 12.7 states/eV/cell

a b c (Å): 7.2604 12.6113 7.3422
angles (deg): 90.00 109.32 90.00
With the nearest neighbours (Å) after each atom.
Space group C2/m (No. 12)
Symmetry-distinct sites (fractional):
La 0.0000 0.0000 0.0000 (multiplicity 2)  6 Se 3.00-3.07
La 0.0000 0.3381 0.0000 (multiplicity 4)  6 Se 3.02-3.07
Nd 0.0000 0.5000 0.5000 (multiplicity 2)  6 Se 2.97-2.98
Ho 0.0000 0.1668 0.5000 (multiplicity 4)  6 Se 2.88-2.89
Se 0.2337 0.0000 0.7312 (multiplicity 4)  2 Ho 2.88, 1 Nd 2.97, 3 La 3.00-3.05
Se 0.2499 0.1716 0.2642 (multiplicity 8)  2 Ho 2.89, 1 Nd 2.98, 3 La 3.02-3.07